An optimized crystal structure of Co2PtSe. Source: the Alexandria database, functional PBE.

Calculated values
Formation energy from raw total energies: 0.21 eV/atom

abc: 5.5600 7.0089 2.8271
angles: 90.00 90.00 90.00
Last column: nearest neighbours and their distance in Å.
Space group Cmmm (No. 65)
Inequivalent atoms, fractional coordinates:
Co 0.2500 0.2500 0.0000 x4  4 Se 2.65, 4 Pt 2.65, 4 Co 2.78-2.83
Pt 0.0000 0.0000 0.5000 x2  8 Co 2.65, 2 Se 2.78, 2 Pt 2.83
Se 0.0000 0.5000 0.5000 x2  8 Co 2.65, 2 Pt 2.78, 2 Se 2.83



An optimized crystal structure of Co2PtSe. Source: the Alexandria database, functional PBE.

Calculated values
Formation energy from raw total energies: 0.26 eV/atom

abc: 3.8206 3.8206 7.6140
angles: 90.00 90.00 90.00
Last column: nearest neighbours and their distance in Å.
Space group I-4m2 (No. 119)
Inequivalent atoms, fractional coordinates:
Co 0.0000 0.0000 0.0000 x2  4 Co 2.70, 4 Pt 2.70, 4 Se 2.70
Co 0.0000 0.5000 0.2500 x2  4 Se 2.70, 4 Co 2.70, 4 Pt 2.70
Pt 0.0000 0.5000 0.7500 x2  4 Se 2.70, 8 Co 2.70
Se 0.0000 0.0000 0.5000 x2  8 Co 2.70, 4 Pt 2.70



An optimized crystal structure of CoPt2Se6. Source: the Alexandria database, functional PBE.

Calculated values
Formation energy from raw total energies: -0.07 eV/atom

abc: 5.7152 5.7152 11.7120
angles: 90.00 90.00 90.00
Last column: nearest neighbours and their distance in Å.
Space group P4_2/mnm (No. 136)
Inequivalent atoms, fractional coordinates:
Co 0.0000 0.0000 0.0000 x2  6 Se 2.39-2.43
Pt 0.0000 0.0000 0.3331 x4  6 Se 2.54
Se 0.1866 0.1866 0.1584 x8  1 Co 2.39, 2 Pt 2.54
Se 0.1998 0.1998 0.5000 x4  1 Co 2.43, 2 Pt 2.54



An optimized crystal structure of CoPtSe2. Source: the Alexandria database, functional PBE.

Calculated values
Formation energy from raw total energies: -0.08 eV/atom

abc: 3.3778 3.3778 22.2463
angles: 90.00 90.00 120.00
Last column: nearest neighbours and their distance in Å.
Space group R-3m (No. 166, hexagonal axes)
Inequivalent atoms, fractional coordinates:
Co 0.0000 0.0000 0.0000 x3  6 Se 2.35
Pt 0.0000 0.0000 0.5000 x3  2 Se 2.40
Se 0.0000 0.0000 0.3922 x6  3 Co 2.35, 1 Pt 2.40



An optimized crystal structure of Co2PtSe. Source: the Alexandria database, functional PBE.

Calculated values
Formation energy from raw total energies: 0.18 eV/atom

abc: 2.8618 2.8618 23.2532
angles: 90.00 90.00 120.00
Last column: nearest neighbours and their distance in Å.
Space group R-3m (No. 166, hexagonal axes)
Inequivalent atoms, fractional coordinates:
Co 0.0000 0.0000 0.2438 x6  3 Se 2.44, 3 Pt 2.66
Pt 0.0000 0.0000 0.0000 x3  6 Co 2.66, 6 Pt 2.86
Se 0.0000 0.0000 0.5000 x3  6 Co 2.44



An optimized crystal structure of CoPtSe2. Source: the Alexandria database, functional PBE.

Calculated values
Formation energy from raw total energies: 0.22 eV/atom

abc: 5.0653 5.0653 2.7890
angles: 90.00 90.00 90.00
Last column: nearest neighbours and their distance in Å.
Space group P4/mmm (No. 123)
Inequivalent atoms, fractional coordinates:
Co 0.0000 0.0000 0.0000 x1  4 Se 2.53, 2 Co 2.79
Pt 0.5000 0.5000 0.0000 x1  4 Se 2.53, 2 Pt 2.79
Se 0.0000 0.5000 0.0000 x2  2 Pt 2.53, 2 Co 2.53, 2 Se 2.79



An optimized crystal structure of CoPtSe2. Source: the Alexandria database, functional PBE.

Calculated values
Formation energy from raw total energies: 0.13 eV/atom

abc: 3.0244 3.7761 11.6895
angles: 90.00 90.00 90.00
Last column: nearest neighbours and their distance in Å.
Space group Imm2 (No. 44)
Inequivalent atoms, fractional coordinates:
Co 0.0000 0.0000 0.0000 x2  6 Se 2.45-2.50
Pt 0.0000 0.5000 0.7084 x2  6 Se 2.61-2.84, 2 Co 2.87
Se 0.0000 0.0000 0.5543 x2  4 Co 2.50, 2 Pt 2.61
Se 0.0000 0.5000 0.3349 x2  2 Co 2.45



An optimized crystal structure of CoPt3Se. Source: the Alexandria database, functional PBE.

Calculated values
Formation energy from raw total energies: 1.01 eV/atom

abc: 4.5830 4.5830 4.5830
angles: 90.00 90.00 90.00
Last column: nearest neighbours and their distance in Å.
Space group Pm-3m (No. 221)
Inequivalent atoms, fractional coordinates:
Co 0.0000 0.0000 0.0000 x1  6 Pt 2.29
Pt 0.0000 0.0000 0.5000 x3  2 Co 2.29
Se 0.5000 0.5000 0.5000 x1  12 Pt 3.24